(1)
HfScAl2Mo, PBEsol geometry, DFT meta-GGA SCAN; crystal system = tetragonal; ΔH_f (0 K) = 1.4373 eV/atom
1.0
-3.649 2.348 1.779
-2.144 0.095 -4.524
-2.301 -4.333 1.000
Sc Mo Hf Al
1 1 1 2
Cartesian
-1.825 1.174 0.889
-4.047 -0.945 -0.873
0.000 0.000 0.000
-1.151 -2.166 0.500
-1.072 0.047 -2.262

***

(2)
CaCrS2, PBEsol geometry, DFT meta-GGA SCAN; crystal system = trigonal; E_form (uncorrected) = -1048 meV/atom; excess energy over the best structure of this formula in the dataset = 14 meV/atom
1.0
-3.258 -0.578 1.463
-0.995 -3.351 0.933
1.575 -0.224 7.890
Cr Ca S
1 1 2
Cartesian
-1.339 -2.076 5.143
0.000 0.000 0.000
-3.222 -3.555 4.838
0.545 -0.597 5.448

***

(3)
La2YSc, PBEsol geometry, DFT meta-GGA SCAN; crystal system = cubic; ΔH_f (0 K) = 0.0802 eV/atom; excess energy over the best structure of this formula in the dataset = 33 meV/atom
1.0
-4.635 0.228 3.103
-0.279 -2.817 4.812
0.024 2.757 4.854
Y Sc La
1 1 2
Cartesian
-2.446 0.084 6.385
0.000 0.000 0.000
-1.223 0.042 3.192
-3.668 0.126 9.577

***

(4)
Sb3PdBr, PBEsol geometry, DFT meta-GGA SCAN; crystal system = cubic; E_form (uncorrected) = 365 meV/atom
1.0
5.195 0.000 0.000
0.000 5.195 0.000
0.000 0.000 5.195
Sb Br Pd
3 1 1
Cartesian
0.000 2.598 0.000
0.000 0.000 2.598
2.598 0.000 0.000
2.598 2.598 2.598
0.000 0.000 0.000

***

(5)
CoHg2Os, PBEsol geometry, DFT meta-GGA SCAN; crystal system = tetragonal; ΔH_f (0 K) = 0.8676 eV/atom; excess energy over the best structure of this formula in the dataset = 145 meV/atom
1.0
-0.523 2.823 0.239
-1.898 -0.529 2.102
5.554 0.591 5.164
Co Os Hg
1 1 2
Cartesian
1.567 1.442 3.752
-1.210 1.147 1.170
4.083 0.434 3.796
1.471 0.156 1.367

***

(6)
NaCu3Pb, PBEsol geometry, DFT meta-GGA SCAN; crystal system = cubic; ΔH_f (0 K) = 0.5733 eV/atom
1.0
4.933 0.000 0.000
0.000 4.933 0.000
0.000 0.000 4.933
Pb Na Cu
1 1 3
Cartesian
0.000 0.000 0.000
2.466 2.466 2.466
0.000 2.466 0.000
0.000 0.000 2.466
2.466 0.000 0.000

***

(7)
Be2Nb2Au, PBEsol geometry, DFT meta-GGA SCAN; crystal system = tetragonal; ΔH_f (0 K) = -0.3900 eV/atom
1.0
3.703 0.000 0.000
0.000 6.050 0.000
0.000 0.000 6.050
Be Nb Au
4 4 2
Cartesian
0.000 2.251 5.275
0.000 5.275 3.799
0.000 3.799 0.774
0.000 0.774 2.251
1.852 0.998 4.023
1.852 4.023 5.052
1.852 5.052 2.027
1.852 2.027 0.998
0.000 0.000 0.000
0.000 3.025 3.025

***

(8)
Cs2LiNbPt, PBEsol geometry, DFT meta-GGA SCAN; crystal system = tetragonal; ΔH_f (0 K) = 1.3281 eV/atom
1.0
5.218 0.000 0.000
0.000 5.358 0.000
0.000 0.000 5.358
Cs Nb Pt Li
2 1 1 1
Cartesian
0.000 0.000 2.679
0.000 2.679 0.000
2.609 0.000 0.000
2.609 2.679 2.679
0.000 0.000 0.000

***

(9)
BeMoSe2F, PBEsol geometry, DFT meta-GGA SCAN; crystal system = tetragonal; E_form (uncorrected) = -159 meV/atom
1.0
-2.550 -1.370 -0.146
1.607 -3.390 3.755
-1.946 3.223 3.742
Be Mo Se F
1 1 2 1
Cartesian
-1.275 -0.685 -0.073
-1.445 -0.769 3.676
-0.973 1.611 1.871
0.803 -1.695 1.878
0.000 0.000 0.000

***

(10)
MgPWS2, PBEsol geometry, DFT meta-GGA SCAN; crystal system = tetragonal; E_form (uncorrected) = 1245 meV/atom
1.0
4.538 0.000 0.000
0.000 4.538 0.000
0.000 0.000 4.616
P S Mg W
1 2 1 1
Cartesian
0.000 0.000 2.308
0.000 2.269 0.000
2.269 0.000 0.000
0.000 0.000 0.000
2.269 2.269 2.308

***

(11)
In2OsSe, PBEsol geometry, DFT meta-GGA SCAN; crystal system = monoclinic; E_form (uncorrected) = 602 meV/atom
1.0
3.480 0.000 0.000
-1.740 4.811 -0.129
0.000 -1.895 4.511
In Os Se
2 1 1
Cartesian
1.740 0.969 3.268
0.000 1.948 1.114
0.000 -0.948 2.256
1.740 0.000 0.000

***

(12)
YP2Au, PBEsol geometry, DFT meta-GGA SCAN; crystal system = orthorhombic; ΔH_f (0 K) = -0.5578 eV/atom; excess energy over the best structure of this formula in the dataset = 0 meV/atom
1.0
3.684 0.000 0.000
0.000 4.056 0.000
-1.842 -2.028 4.778
Au P Y
1 2 1
Cartesian
1.842 0.000 2.170
0.000 0.000 0.176
0.000 2.028 2.527
0.000 0.000 4.683